(1)
Here is a crystal of Sb2TeCI relaxed with PBEsol from the Alexandria database. Energies are from meta-GGA SCAN.

Summary:
DOS(E_F)   4.41 states/eV/cell
Crystal system   tetragonal
E_form (uncorrected)   2.068 eV per atom
Volume   191.6 Å³/cell

```
5
Lattice="5.7371 0.0000 0.0000 0.0000 5.7371 0.0000 0.0000 0.0000 5.8224" Properties=species:S:1:pos:R:3 pbc="T T T"
Sb 0.0000 2.8685 0.0000
Sb 2.8685 0.0000 0.0000
Te 0.0000 0.0000 0.0000
C 2.8685 2.8685 2.9112
I 0.0000 0.0000 2.9112
```

---

(2)
Here is a crystal of TiSbCI2 relaxed with PBEsol from the Alexandria database. Energies are from meta-GGA SCAN.

Summary:
DOS(E_F)   5.47 states/eV/cell
Crystal system   tetragonal
E_form (uncorrected)   1.335 eV per atom
Volume   149.0 Å³/cell

```
5
Lattice="5.2771 0.0000 0.0000 0.0000 5.2771 0.0000 0.0000 0.0000 5.3505" Properties=species:S:1:pos:R:3 pbc="T T T"
Ti 0.0000 0.0000 0.0000
Sb 0.0000 0.0000 2.6752
C 2.6386 2.6386 2.6752
I 0.0000 2.6386 0.0000
I 2.6386 0.0000 0.0000
```

---

Number 1: raw total energy -29.654 eV/atom. Number 2: raw total energy -26.040 eV/atom.